# 1
Below is crystalline Y2WBr at its relaxed geometry, with properties calculated at the PBE level.

Computed properties:
The calculation puts the uncorrected formation energy at 0.757 eV per atom. For the density of states at the Fermi level, the calculation gives 0.9753 states/eV/atom. The space group is No. 122. As for the final energy: -6.132 eV per atom.

Unit cell a=6.2592 b=6.2592 c=8.1190 alpha=67.33 beta=67.33 gamma=90.00
Element x y z (fractional)
Y  0.6654  0.1250  0.2500
Y  0.8750  0.9154  0.7500
Br  0.5000  0.5000  0.0000
W  0.0000  0.0000  0.0000
Y  0.3750  0.3346  0.7500
Y  0.0846  0.6250  0.2500
Br  0.2500  0.7500  0.5000
W  0.7500  0.2500  0.5000

# 2
Below is crystalline Cd3In4Ag4 at its relaxed geometry, with properties calculated at the PBE level.

Computed properties:
For the density of states at the Fermi level, the calculation gives 0.2119 states/eV/atom. The value obtained for the formation energy is 9 meV per atom. The space group is No. 2. As for the final energy: -2.273 eV per atom.

Unit cell a=3.0091 b=9.0633 c=10.1550 alpha=116.49 beta=97.94 gamma=89.99
Element x y z (fractional)
Cd  0.0000  0.5000  0.0000
Cd  0.9121  0.9077  0.8158
Ag  0.2744  0.7641  0.5289
Ag  0.7256  0.2359  0.4711
In  0.6770  0.8560  0.3166
Ag  0.4999  0.2232  0.9996
Cd  0.0879  0.0923  0.1842
In  0.3230  0.1440  0.6834
In  0.6786  0.4607  0.3159
Ag  0.5001  0.7768  0.0004
In  0.3214  0.5393  0.6841

# 3
Below is crystalline HfTiCuTc at its relaxed geometry, with properties calculated at the PBE level.

Computed properties:
For the density of states at the Fermi level, the calculation gives 0.8531 states/eV/atom. The value obtained for the formation energy is -341 meV per atom. The space group is No. 99. As for the final energy: -8.419 eV per atom.

Unit cell a=3.2269 b=3.2269 c=6.1904 alpha=90.00 beta=90.00 gamma=90.00
Element x y z (fractional)
Tc  0.0000  0.0000  0.3717
Hf  0.5000  0.5000  0.1125
Cu  0.0000  0.0000  0.8435
Ti  0.5000  0.5000  0.6003

# 4
Below is crystalline Sm2SnRh at its relaxed geometry, with properties calculated at the PBE level.

Computed properties:
For the density of states at the Fermi level, the calculation gives 0.6914 states/eV/atom. The value obtained for the formation energy is -747 meV per atom. The space group is No. 11. As for the final energy: -5.945 eV per atom.

Unit cell a=4.0175 b=6.3356 c=8.9412 alpha=112.54 beta=90.00 gamma=90.00
Element x y z (fractional)
Sm  0.7500  0.2220  0.8940
Sm  0.7500  0.2120  0.4526
Sn  0.2500  0.3307  0.2036
Rh  0.7500  0.6772  0.2974
Sm  0.2500  0.7780  0.1060
Sm  0.2500  0.7880  0.5474
Sn  0.7500  0.6693  0.7964
Rh  0.2500  0.3228  0.7026

# 5
Below is crystalline Cs7Br2ClO2 at its relaxed geometry, with properties calculated at the PBE level.

Computed properties:
The calculation puts the uncorrected formation energy at -1.378 eV per atom. The space group is No. 12. As for the final energy: -3.135 eV per atom.

Unit cell a=5.8644 b=5.8644 c=15.4371 alpha=79.12 beta=79.12 gamma=90.00
Element x y z (fractional)
Br  0.8244  0.8244  0.3551
O  0.4009  0.4009  0.2010
Cs  0.4070  0.9067  0.1887
Cs  0.6908  0.6908  0.6149
Cs  0.5000  0.5000  0.0000
Cs  0.0933  0.5930  0.8113
Cs  0.3092  0.3092  0.3851
O  0.5991  0.5991  0.7990
Cs  0.5930  0.0933  0.8113
Br  0.1756  0.1756  0.6449
Cl  0.0000  0.0000  0.0000
Cs  0.9067  0.4070  0.1887

# 6
Below is crystalline Rb3MgGe2O6 at its relaxed geometry, with properties calculated at the PBE level.

Computed properties:
The calculation puts the uncorrected formation energy at -1.608 eV per atom. For the density of states at the Fermi level, the calculation gives 0.1749 states/eV/atom. The space group is No. 164. As for the final energy: -5.231 eV per atom.

Unit cell a=6.0003 b=6.0003 c=7.3972 alpha=90.00 beta=90.00 gamma=120.00
Element x y z (fractional)
O  0.3361  0.1681  0.6794
Rb  0.3333  0.6667  0.7169
O  0.1680  0.8319  0.3206
Rb  0.6667  0.3333  0.2831
Mg  0.0000  0.0000  0.5000
O  0.8320  0.1681  0.6794
O  0.1680  0.3361  0.3206
Rb  0.0000  0.0000  0.0000
O  0.8320  0.6639  0.6794
O  0.6639  0.8319  0.3206
Ge  0.3333  0.6667  0.2809
Ge  0.6667  0.3333  0.7191